# 1
Compound: Te2AsH2
Source: the Alexandria database
Functional: PBE-GGA
Structure: optimized geometry

a b c (Å): 8.1604 8.1604 3.5485
angles (deg): 90.00 90.00 90.00
Closest atoms and distances in Å follow each position.
Positions (direct):
1 Te 0.7434 0.2434 0.0000  2 H 1.93
2 Te 0.2566 0.7566 0.0000  2 H 1.93
3 Te 0.7566 0.7434 0.0000  2 H 1.93
4 Te 0.2434 0.2566 0.0000  2 H 1.93
5 H 0.1901 0.6901 0.5000  2 Te 1.93
6 H 0.3099 0.1901 0.5000  2 Te 1.93
7 H 0.8099 0.3099 0.5000  2 Te 1.93
8 H 0.6901 0.8099 0.5000  2 Te 1.93
9 As 0.5000 0.5000 0.0000  4 Te 2.89
10 As 0.0000 0.0000 0.0000  4 Te 2.89

Computed properties:
Energy relative to the lowest polymorph listed for this composition ... 0.261 eV/atom
Space-group type ... P4/mbm (127)
Calculated density ... 4.67 g cm⁻³
Total energy ... -3.14 eV/atom

# 2
Compound: Mo2IrS
Source: the Alexandria database
Functional: PBE-GGA
Structure: optimized geometry

a b c (Å): 5.5538 5.5538 6.6633
angles (deg): 65.37 65.37 90.00
Closest atoms and distances in Å follow each position.
Positions (direct):
1 Mo 0.3750 0.3881 0.7500  2 S 2.34, 2 Ir 2.42
2 Mo 0.6119 0.1250 0.2500  2 S 2.34, 2 Ir 2.42
3 Mo 0.1381 0.6250 0.2500  2 S 2.34, 2 Ir 2.42
4 Mo 0.8750 0.8619 0.7500  2 S 2.34, 2 Ir 2.42
5 S 0.5000 0.5000 0.0000  4 Mo 2.34
6 S 0.2500 0.7500 0.5000  4 Mo 2.34
7 Ir 0.0000 0.0000 0.0000  4 Mo 2.42
8 Ir 0.7500 0.2500 0.5000  4 Mo 2.42

Computed properties:
Formation energy without anion corrections ... 1.6 eV/f.u.
Space-group type ... I-42d (122)
Calculated density ... 8.32 g cm⁻³
Total energy ... -8.26 eV/atom

# 3
Compound: Dy3Y6Sc
Source: the Alexandria database
Functional: PBE-GGA
Structure: optimized geometry

a b c (Å): 8.5245 8.8310 6.2151
angles (deg): 97.90 133.30 90.00
Closest atoms and distances in Å follow each position.
Positions (direct):
1 Dy 0.0000 0.0000 0.0000  2 Dy 3.36, 6 Y 3.43-3.49
2 Dy 0.7808 0.2671 0.5615  6 Y 3.23-3.59, 1 Dy 3.36, 1 Sc 3.56
3 Dy 0.2192 0.7329 0.4385  6 Y 3.23-3.59, 1 Dy 3.36, 1 Sc 3.56
4 Y 0.0667 0.6448 0.7649  2 Y 3.14-3.35, 3 Dy 3.23-3.49, 1 Sc 3.24
5 Y 0.6189 0.8668 0.2378  1 Sc 3.21, 3 Dy 3.43-3.59, 1 Y 3.48
6 Y 0.3811 0.1332 0.7622  1 Sc 3.21, 3 Dy 3.43-3.59, 1 Y 3.48
7 Y 0.9333 0.3552 0.2351  2 Y 3.14-3.35, 3 Dy 3.23-3.49, 1 Sc 3.24
8 Y 0.6982 0.6448 0.7649  2 Y 3.14-3.35, 3 Dy 3.23-3.49, 1 Sc 3.24
9 Y 0.3018 0.3552 0.2351  2 Y 3.14-3.35, 3 Dy 3.23-3.49, 1 Sc 3.24
10 Sc 0.5000 0.5000 0.0000  6 Y 3.21-3.24, 2 Dy 3.56

Computed properties:
Energy relative to the lowest polymorph listed for this composition ... 0.151 eV/atom
Space-group type ... C2/m (12)
ΔH_f (0 K) ... 0.29 eV per atom
Calculated density ... 5.29 g cm⁻³
Total energy ... -5.60 eV/atom

# 4
Compound: SrMg2Mo
Source: the Alexandria database
Functional: PBE-GGA
Structure: optimized geometry

a b c (Å): 6.2822 6.2822 6.2822
angles (deg): 150.73 128.07 60.73
Closest atoms and distances in Å follow each position.
Positions (direct):
1 Mg 0.0159 0.0159 0.0000  4 Mg 3.16-3.17, 4 Mo 3.20, 2 Sr 3.41
2 Mg 0.2677 0.7677 0.5000  2 Mo 2.79
3 Sr 0.7372 0.2372 0.5000  2 Sr 3.17, 6 Mg 3.19-3.41, 2 Mo 3.22
4 Mo 0.4792 0.4792 0.0000  2 Mg 2.79

Computed properties:
Energy relative to the lowest polymorph listed for this composition ... 0.155 eV/atom
Space-group type ... Imm2 (44)
ΔH_f (0 K) ... 0.64 eV per atom
Calculated density ... 4.07 g cm⁻³
Total energy ... -3.28 eV/atom

# 5
Compound: Sc2IrPb2
Source: the Alexandria database
Functional: PBE-GGA
Structure: optimized geometry

a b c (Å): 7.1354 7.1354 4.4223
angles (deg): 90.00 90.00 90.00
Closest atoms and distances in Å follow each position.
Positions (direct):
1 Sc 0.3347 0.1653 0.5000  6 Pb 2.91-3.14
2 Sc 0.8347 0.3347 0.5000  6 Pb 2.91-3.14
3 Sc 0.1653 0.6653 0.5000  6 Pb 2.91-3.14
4 Sc 0.6653 0.8347 0.5000  6 Pb 2.91-3.14
5 Pb 0.8533 0.6467 0.0000  2 Ir 2.73, 2 Sc 2.91, 1 Pb 2.96
6 Pb 0.1467 0.3533 0.0000  2 Ir 2.73, 2 Sc 2.91, 1 Pb 2.96
7 Pb 0.6467 0.1467 0.0000  2 Ir 2.73, 2 Sc 2.91, 1 Pb 2.96
8 Pb 0.3533 0.8533 0.0000  2 Ir 2.73, 2 Sc 2.91, 1 Pb 2.96
9 Ir 0.5000 0.5000 0.0000  4 Pb 2.73
10 Ir 0.0000 0.0000 0.0000  4 Pb 2.73

Computed properties:
Energy relative to the lowest polymorph listed for this composition ... 0.000 eV/atom
Space-group type ... P4/mbm (127)
ΔH_f (0 K) ... -0.18 eV per atom
Calculated density ... 10.27 g cm⁻³
Total energy ... -5.97 eV/atom

# 6
Compound: Ta4Te
Source: the Alexandria database
Functional: PBE-GGA
Structure: optimized geometry

a b c (Å): 5.3297 5.3297 5.3297
angles (deg): 109.47 109.47 109.47
Closest atoms and distances in Å follow each position.
Positions (direct):
1 Ta 0.0000 0.5000 0.0000  2 Te 2.66
2 Ta 0.5000 0.5000 0.5000  2 Te 2.66
3 Ta 0.0000 0.0000 0.5000  2 Te 2.66
4 Ta 0.5000 0.0000 0.0000  2 Te 2.66
5 Te 0.0000 0.0000 0.0000  8 Ta 2.66

Computed properties:
Energy relative to the lowest polymorph listed for this composition ... 1.279 eV/atom
Formation energy without anion corrections ... 6.8 eV/f.u.
Space-group type ... Im-3m (229)
Calculated density ... 12.13 g cm⁻³
Total energy ... -8.75 eV/atom